Record 1
# ThZn3Ni2

Crystalline ThZn3Ni2 at its relaxed geometry (GGA-PBE, Alexandria).

Total magnetization (μB/atom): 0.000
Formation energy (eV/atom): -0.307
Space group: No. 12
DOS(E_F) (states/eV/cell): 7.45
Crystal system: monoclinic
Energy (eV for the cell shown): -49.3

a b c (Å): 3.922 7.736 7.697
angles (deg): 116.83 90.00 104.68
Element x y z (fractional)
Th 0.855 0.710 0.940
Th 0.145 0.290 0.060
Zn 0.315 0.630 0.541
Zn 0.955 0.911 0.616
Zn 0.600 0.199 0.686
Zn 0.400 0.801 0.314
Zn 0.045 0.089 0.384
Zn 0.685 0.370 0.459
Ni 0.486 0.971 0.836
Ni 0.514 0.029 0.164
Ni 0.791 0.581 0.287
Ni 0.209 0.419 0.713



Record 2
# CsH2Br

Crystalline CsH2Br at its relaxed geometry (GGA-PBE, Alexandria).

Total magnetization (μB/atom): 0.000
Space group: No. 11
Excess energy over the best structure of this formula in the dataset (eV/f.u.): 0.00
DOS(E_F) (states/eV/cell): 0.00
Crystal system: monoclinic
Energy (eV for the cell shown): -25.5

a b c (Å): 5.135 5.118 8.596
angles (deg): 90.00 89.99 90.00
Element x y z (fractional)
Cs 0.750 0.750 0.212
Cs 0.250 0.250 0.788
H 0.751 0.324 0.535
H 0.249 0.676 0.465
H 0.751 0.176 0.535
H 0.249 0.824 0.465
Br 0.250 0.250 0.207
Br 0.750 0.750 0.793



Record 3
# TcAsAu2

Crystalline TcAsAu2 at its relaxed geometry (GGA-PBE, Alexandria).

Total magnetization (μB/atom): 0.000
Formation energy (eV/atom): 0.397
Space group: No. 166
DOS(E_F) (states/eV/cell): 4.12
Crystal system: trigonal
Energy (eV for the cell shown): -20.0

a b c (Å): 9.376 9.376 9.376
angles (deg): 18.07 18.07 18.07
Element x y z (fractional)
As 0.750 0.750 0.750
Au 0.998 0.998 0.998
Au 0.502 0.502 0.502
Tc 0.250 0.250 0.250



Record 4
# TaAs2AuBr

Crystalline TaAs2AuBr at its relaxed geometry (GGA-PBE, Alexandria).

Total magnetization (μB/atom): 0.363
Space group: No. 123
Excess energy over the best structure of this formula in the dataset (eV/f.u.): 4.40
DOS(E_F) (states/eV/cell): 4.78
Crystal system: tetragonal
Energy (eV for the cell shown): -19.5
Formation energy without anion corrections (eV per atom): 1.312

a b c (Å): 4.988 4.988 5.040
angles (deg): 90.00 90.00 90.00
Each line ends with the local moment (μB).
Element x y z (fractional)
As 0.000 0.500 0.000  -0.14
As 0.500 0.000 0.000  -0.14
Au 0.000 0.000 0.000  -0.01
Br 0.000 0.000 0.500  -0.05
Ta 0.500 0.500 0.500  1.63